The following is a PBE-GGA calculation of a relaxed structure of SrCa2Cl, from the Alexandria database.

a = 6.3467 Å, b = 6.3467 Å, c = 4.0920 Å
α = 90.00°, β = 90.00°, γ = 90.00°
Closest atoms and distances in Å follow each position.
Fractional coordinates of all 4 atoms:
Sr: 0.0000 0.0000 0.0000  8 Ca 3.78, 2 Sr 4.09
Ca: 0.0000 0.5000 0.5000  4 Cl 3.78, 4 Sr 3.78, 2 Ca 4.09
Ca: 0.5000 0.0000 0.5000  4 Cl 3.78, 4 Sr 3.78, 2 Ca 4.09
Cl: 0.5000 0.5000 0.0000  8 Ca 3.78, 2 Cl 4.09

Results
**Final energy**: -2.2229 eV per atom
**Uncorrected formation energy**: -32.8 kJ/mol of atoms
**Size of the total moment**: 0.000 μB per atom